# CaLa2Al PBE relaxed
# SG: P4mm
# Crystal system: tetragonal
# Raw total energy (Ry/atom): -0.2946
data_CaLa2Al
_cell_length_a 3.654
_cell_length_b 3.654
_cell_length_c 9.788
_cell_angle_alpha 90.00
_cell_angle_beta 90.00
_cell_angle_gamma 90.00
_symmetry_space_group_name_H-M 'P 1'
_symmetry_Int_Tables_number 1
loop_
_symmetry_equiv_pos_as_xyz
'x,y,z'
loop_
_atom_site_label
_atom_site_type_symbol
_atom_site_fract_x
_atom_site_fract_y
_atom_site_fract_z
Ca1 Ca 0.000 0.000 0.000
La1 La 0.000 0.000 0.596
La2 La 0.500 0.500 0.307
Al1 Al 0.500 0.500 0.800

# Ni2Pd3Pt PBE relaxed
# E above lowest polymorph (eV/atom): 0.304
# SG: Pn-3m
# Crystal system: cubic
data_Ni2Pd3Pt
_cell_length_a 5.778
_cell_length_b 5.778
_cell_length_c 5.778
_cell_angle_alpha 90.00
_cell_angle_beta 90.00
_cell_angle_gamma 90.00
_symmetry_space_group_name_H-M 'P 1'
_symmetry_Int_Tables_number 1
loop_
_symmetry_equiv_pos_as_xyz
'x,y,z'
loop_
_atom_site_label
_atom_site_type_symbol
_atom_site_fract_x
_atom_site_fract_y
_atom_site_fract_z
Ni1 Ni 0.000 0.000 0.000
Ni2 Ni 0.000 0.500 0.500
Ni3 Ni 0.500 0.000 0.500
Ni4 Ni 0.500 0.500 0.000
Pd1 Pd 0.250 0.250 0.750
Pd2 Pd 0.250 0.750 0.250
Pd3 Pd 0.250 0.750 0.750
Pd4 Pd 0.750 0.250 0.250
Pd5 Pd 0.750 0.250 0.750
Pd6 Pd 0.750 0.750 0.250
Pt1 Pt 0.250 0.250 0.250
Pt2 Pt 0.750 0.750 0.750

# Ga3HgPb3 PBE relaxed
# SG: Pm-3n
# Crystal system: cubic
# Raw total energy (Ry/atom): -0.1917
data_Ga3HgPb3
_cell_length_a 7.932
_cell_length_b 7.932
_cell_length_c 7.932
_cell_angle_alpha 90.00
_cell_angle_beta 90.00
_cell_angle_gamma 90.00
_symmetry_space_group_name_H-M 'P 1'
_symmetry_Int_Tables_number 1
loop_
_symmetry_equiv_pos_as_xyz
'x,y,z'
loop_
_atom_site_label
_atom_site_type_symbol
_atom_site_fract_x
_atom_site_fract_y
_atom_site_fract_z
Ga1 Ga 0.000 0.250 0.500
Ga2 Ga 0.000 0.750 0.500
Ga3 Ga 0.250 0.500 0.000
Ga4 Ga 0.500 0.000 0.250
Ga5 Ga 0.500 0.000 0.750
Ga6 Ga 0.750 0.500 0.000
Hg1 Hg 0.000 0.000 0.000
Hg2 Hg 0.500 0.500 0.500
Pb1 Pb 0.000 0.500 0.250
Pb2 Pb 0.000 0.500 0.750
Pb3 Pb 0.250 0.000 0.500
Pb4 Pb 0.500 0.250 0.000
Pb5 Pb 0.500 0.750 0.000
Pb6 Pb 0.750 0.000 0.500